(1)
VASP calculation (PBE) on a geometry-optimized Pu2MnAg structure.

Unit cell a=5.006 b=5.006 c=5.006 alpha=60.00 beta=60.00 gamma=60.00
Atoms (fractional coordinates):
Mn 0.000 0.000 0.000
Pu 0.250 0.250 0.250
Pu 0.750 0.750 0.750
Ag 0.500 0.500 0.500

Summary:
For the theoretical density, the calculation gives 12.186 Mg/m³. The formation energy from the elements is 0.21 eV per atom. The value obtained for the energy above the most stable polymorph in this dataset is 165 meV per atom. The raw total energy comes out at -9.962 eV per atom. The total magnetic moment comes out at 8.7 μB/cell. As for the symmetry: Fm-3m (225).



(2)
VASP calculation (PBE) on a geometry-optimized Pu2MnAg structure.

Unit cell a=3.130 b=3.130 c=8.480 alpha=90.00 beta=90.00 gamma=90.00
Atoms (fractional coordinates):
Pu 0.000 0.000 0.217
Pu 0.000 0.000 0.783
Mn 0.500 0.500 0.000
Ag 0.500 0.500 0.500

Summary:
For the theoretical density, the calculation gives 13.006 Mg/m³. The formation energy from the elements is 0.04 eV per atom. The value obtained for the energy above the most stable polymorph in this dataset is 0 meV per atom. The raw total energy comes out at -10.127 eV per atom. The total magnetic moment comes out at 9.1 μB/cell. As for the symmetry: P4/mmm (123).



(3)
VASP calculation (PBE) on a geometry-optimized Pu2MnAg structure.

Unit cell a=2.959 b=2.959 c=10.847 alpha=82.16 beta=82.16 gamma=60.00
Atoms (fractional coordinates):
Mn 0.500 0.500 0.500
Pu 0.095 0.095 0.715
Ag 0.000 0.000 0.000
Pu 0.905 0.905 0.285

Summary:
For the theoretical density, the calculation gives 13.302 Mg/m³. The formation energy from the elements is 0.41 eV per atom. The value obtained for the energy above the most stable polymorph in this dataset is 364 meV per atom. The raw total energy comes out at -9.763 eV per atom. The total magnetic moment comes out at 7.4 μB/cell. As for the symmetry: R-3m (166).



(4)
VASP calculation (PBE) on a geometry-optimized Pu2MnAg2S6 structure.

Unit cell a=6.750 b=6.750 c=6.495 alpha=100.47 beta=100.47 gamma=120.51
Atoms (fractional coordinates):
Ag 0.818 0.182 0.000
S 0.082 0.399 0.733
Pu 0.666 0.334 0.500
Mn 0.000 0.000 0.500
S 0.778 0.778 0.727
S 0.601 0.918 0.267
S 0.399 0.082 0.733
Pu 0.334 0.666 0.500
S 0.222 0.222 0.273
Ag 0.182 0.818 0.000
S 0.918 0.601 0.267

Summary:
For the theoretical density, the calculation gives 6.657 Mg/m³. The calculation puts the raw formation energy at -9.72 eV per formula unit. The raw total energy comes out at -7.092 eV per atom. The total magnetic moment comes out at 13.0 μB/cell. As for the symmetry: C2/m (12).



(5)
VASP calculation (PBE) on a geometry-optimized PuMnAg2S4 structure.

Unit cell a=6.499 b=6.499 c=5.472 alpha=114.85 beta=114.85 gamma=107.00
Atoms (fractional coordinates):
Pu 0.559 0.559 0.119
Mn 0.042 0.042 0.083
Ag 0.818 0.318 0.635
S 0.306 0.830 0.136
S 0.568 0.568 0.628
S 0.830 0.306 0.136
Ag 0.318 0.818 0.635
S 0.060 0.060 0.628

Summary:
For the theoretical density, the calculation gives 6.824 Mg/m³. The calculation puts the raw formation energy at -4.95 eV per formula unit. The raw total energy comes out at -6.333 eV per atom. The total magnetic moment comes out at 0.3 μB/cell. As for the symmetry: Fmm2 (42).



(6)
VASP calculation (PBE) on a geometry-optimized PuMnAgSe4 structure.

Unit cell a=7.941 b=7.621 c=7.621 alpha=69.45 beta=58.60 gamma=58.60
Atoms (fractional coordinates):
Pu 0.000 0.000 0.000
Pu 0.000 0.500 0.500
Se 0.717 0.224 0.341
Se 0.211 0.269 0.769
Se 0.751 0.269 0.769
Se 0.717 0.841 0.724
Se 0.789 0.731 0.231
Se 0.249 0.731 0.231
Mn 0.500 0.000 0.500
Se 0.283 0.159 0.276
Ag 0.291 0.459 0.959
Se 0.283 0.776 0.659
Ag 0.709 0.541 0.041
Mn 0.000 0.000 0.500

Summary:
For the theoretical density, the calculation gives 7.186 Mg/m³. The calculation puts the raw formation energy at -4.94 eV per formula unit. The raw total energy comes out at -6.462 eV per atom. The total magnetic moment comes out at 16.0 μB/cell. As for the symmetry: Imma (74).



(7)
VASP calculation (PBE) on a geometry-optimized PuMnAgSn structure.

Unit cell a=4.960 b=4.960 c=4.960 alpha=60.00 beta=60.00 gamma=60.00
Atoms (fractional coordinates):
Ag 0.500 0.500 0.500
Pu 0.750 0.750 0.750
Mn 0.000 0.000 0.000
Sn 0.250 0.250 0.250

Summary:
For the theoretical density, the calculation gives 10.116 Mg/m³. The formation energy from the elements is 0.21 eV per atom. The raw total energy comes out at -7.383 eV per atom. The total magnetic moment comes out at 9.6 μB/cell. As for the symmetry: F-43m (216).



(8)
VASP calculation (PBE) on a geometry-optimized RbMn2Ag structure.

Unit cell a=5.328 b=5.328 c=10.053 alpha=74.63 beta=74.63 gamma=90.00
Atoms (fractional coordinates):
Mn 0.375 0.125 0.750
Mn 0.875 0.625 0.250
Ag 0.750 0.250 0.500
Rb 0.250 0.750 0.500
Mn 0.875 0.125 0.750
Mn 0.875 0.125 0.250
Rb 0.500 0.500 0.000
Ag 0.000 0.000 0.000

Summary:
For the theoretical density, the calculation gives 3.806 Mg/m³. The formation energy from the elements is 0.94 eV per atom. The value obtained for the energy above the most stable polymorph in this dataset is 0 meV per atom. The raw total energy comes out at -4.602 eV per atom. The total magnetic moment comes out at 17.1 μB/cell. As for the symmetry: I4_1/amd (141).



(9)
VASP calculation (PBE) on a geometry-optimized RbMn2Ag structure.

Unit cell a=5.128 b=5.128 c=5.128 alpha=60.00 beta=60.00 gamma=60.00
Atoms (fractional coordinates):
Mn 0.750 0.750 0.750
Ag 0.500 0.500 0.500
Mn 0.250 0.250 0.250
Rb 0.000 0.000 0.000

Summary:
For the theoretical density, the calculation gives 5.279 Mg/m³. The formation energy from the elements is 1.10 eV per atom. The value obtained for the energy above the most stable polymorph in this dataset is 162 meV per atom. The raw total energy comes out at -4.440 eV per atom. The total magnetic moment comes out at 8.8 μB/cell. As for the symmetry: Fm-3m (225).



(10)
VASP calculation (PBE) on a geometry-optimized RbMnAg3 structure.

Unit cell a=5.258 b=5.258 c=5.258 alpha=90.00 beta=90.00 gamma=90.00
Atoms (fractional coordinates):
Mn 0.000 0.000 0.000
Ag 0.000 0.500 0.000
Rb 0.500 0.500 0.500
Ag 0.000 0.000 0.500
Ag 0.500 0.000 0.000

Summary:
For the theoretical density, the calculation gives 5.300 Mg/m³. The formation energy from the elements is 0.50 eV per atom. The value obtained for the energy above the most stable polymorph in this dataset is 0 meV per atom. The raw total energy comes out at -3.241 eV per atom. The total magnetic moment comes out at 4.5 μB/cell. As for the symmetry: Pm-3m (221).



(11)
VASP calculation (PBE) on a geometry-optimized RbMnAg3 structure.

Unit cell a=5.771 b=5.771 c=5.771 alpha=90.00 beta=90.00 gamma=90.00
Atoms (fractional coordinates):
Ag 0.000 0.000 0.500
Mn 0.500 0.500 0.500
Ag 0.500 0.000 0.000
Rb 0.000 0.000 0.000
Ag 0.000 0.500 0.000

Summary:
For the theoretical density, the calculation gives 4.008 Mg/m³. The formation energy from the elements is 1.57 eV per atom. The value obtained for the energy above the most stable polymorph in this dataset is 1076 meV per atom. The raw total energy comes out at -2.165 eV per atom. The total magnetic moment comes out at 4.7 μB/cell. As for the symmetry: Pm-3m (221).



(12)
VASP calculation (PBE) on a geometry-optimized RbMnAgRh2 structure.

Unit cell a=5.068 b=4.794 c=5.068 alpha=90.00 beta=90.00 gamma=90.00
Atoms (fractional coordinates):
Ag 0.000 0.000 0.000
Rh 0.500 0.000 0.000
Rb 0.500 0.500 0.500
Mn 0.000 0.500 0.000
Rh 0.000 0.000 0.500

Summary:
For the theoretical density, the calculation gives 6.123 Mg/m³. The formation energy from the elements is 1.70 eV per atom. The raw total energy comes out at -3.839 eV per atom. The total magnetic moment comes out at 0.8 μB/cell. As for the symmetry: P4/mmm (123).



(13)
VASP calculation (PBE) on a geometry-optimized RbMnAgS3 structure.

Unit cell a=7.169 b=7.169 c=7.628 alpha=75.90 beta=75.90 gamma=60.65
Atoms (fractional coordinates):
S 0.166 0.670 0.821
Rb 0.682 0.682 0.780
Mn 0.994 0.994 0.167
S 0.177 0.177 0.702
S 0.834 0.330 0.179
S 0.670 0.166 0.821
Mn 0.006 0.006 0.833
Rb 0.318 0.318 0.220
Ag 0.793 0.207 0.500
Ag 0.207 0.793 0.500
S 0.823 0.823 0.298
S 0.330 0.834 0.179

Summary:
For the theoretical density, the calculation gives 3.490 Mg/m³. The calculation puts the raw formation energy at -2.77 eV per formula unit. The raw total energy comes out at -4.691 eV per atom. The total magnetic moment comes out at 4.0 μB/cell. As for the symmetry: C2/m (12).